Entry 1:
# GGA-PBE Sr3CaPb, relaxed
data_Sr3CaPb
_chemical_formula_sum 'Sr3 Ca1 Pb1'
_space_group_name_H-M_alt 'P m -3 m'
_space_group_IT_number 221
_space_group_name_Hall '-P 4 2 3'
_cell_length_a 6.432
_cell_length_b 6.432
_cell_length_c 6.432
_cell_angle_alpha 90.00
_cell_angle_beta 90.00
_cell_angle_gamma 90.00
loop_
_atom_site_label
_atom_site_type_symbol
_atom_site_fract_x
_atom_site_fract_y
_atom_site_fract_z
Sr1 Sr 0.000 0.000 0.500
Ca1 Ca 0.000 0.000 0.000
Pb1 Pb 0.500 0.500 0.500
# polymorph energy (0 for the lowest one) = 722 meV per atom
# DFT formation energy = 646.5 meV/atom

***

Entry 2:
# GGA-PBE BaPI2N, relaxed
data_BaPI2N
_chemical_formula_sum 'Ba1 P1 I2 N1'
_space_group_name_H-M_alt 'P 4/m m m'
_space_group_IT_number 123
_space_group_name_Hall '-P 4 2'
_cell_length_a 6.248
_cell_length_b 6.248
_cell_length_c 3.617
_cell_angle_alpha 90.00
_cell_angle_beta 90.00
_cell_angle_gamma 90.00
loop_
_atom_site_label
_atom_site_type_symbol
_atom_site_fract_x
_atom_site_fract_y
_atom_site_fract_z
Ba1 Ba 0.000 0.000 0.000
P1 P 0.500 0.500 0.500
I1 I 0.000 0.500 0.500
N1 N 0.500 0.500 0.000
# polymorph energy (0 for the lowest one) = 0 meV per atom
# ΔE_f (raw) = -0.21 eV/atom

***

Entry 3:
# GGA-PBE Ac8Ge3PtSe4, relaxed
data_Ac8Ge3PtSe4
_chemical_formula_sum 'Ac24 Ge9 Pt3 Se12'
_space_group_name_H-M_alt 'R -3 m'
_space_group_IT_number 166
_space_group_name_Hall '-R 3 2"'
_cell_length_a 9.0693
_cell_length_b 9.0693
_cell_length_c 22.3662
_cell_angle_alpha 90.00
_cell_angle_beta 90.00
_cell_angle_gamma 120.00
loop_
_atom_site_label
_atom_site_type_symbol
_atom_site_fract_x
_atom_site_fract_y
_atom_site_fract_z
Ac1 Ac 0.0000 0.0000 0.2474
Ac2 Ac 0.0011 0.5005 0.2454
Ge1 Ge 0.0000 0.5000 0.5000
Pt1 Pt 0.0000 0.0000 0.5000
Se1 Se 0.0000 0.0000 0.0000
Se2 Se 0.0000 0.5000 0.0000
# ΔE_f (raw) = -1.38 eV/atom

***

Entry 4:
# GGA-PBE Al5Zn3, relaxed
data_Al5Zn3
_chemical_formula_sum 'Al10 Zn6'
_space_group_name_H-M_alt 'P 63/m c m'
_space_group_IT_number 193
_space_group_name_Hall '-P 6c 2'
_cell_length_a 7.7907
_cell_length_b 7.7907
_cell_length_c 5.0803
_cell_angle_alpha 90.00
_cell_angle_beta 90.00
_cell_angle_gamma 120.00
loop_
_atom_site_label
_atom_site_type_symbol
_atom_site_fract_x
_atom_site_fract_y
_atom_site_fract_z
Al1 Al 0.0000 0.2150 0.2500
Al2 Al 0.3333 0.6667 0.0000
Zn1 Zn 0.0000 0.4054 0.7500
# polymorph energy (0 for the lowest one) = 93 meV per atom
# DFT formation energy = 109.3 meV/atom

***

Entry 5:
# GGA-PBE Cs2Au2Cl, relaxed
data_Cs2Au2Cl
_chemical_formula_sum 'Cs4 Au4 Cl2'
_space_group_name_H-M_alt 'I 4/m m m'
_space_group_IT_number 139
_space_group_name_Hall '-I 4 2'
_cell_length_a 6.872
_cell_length_b 6.872
_cell_length_c 8.483
_cell_angle_alpha 90.00
_cell_angle_beta 90.00
_cell_angle_gamma 90.00
loop_
_atom_site_label
_atom_site_type_symbol
_atom_site_fract_x
_atom_site_fract_y
_atom_site_fract_z
Cs1 Cs 0.000 0.500 0.250
Au1 Au 0.000 0.000 0.158
Cl1 Cl 0.000 0.000 0.500
# polymorph energy (0 for the lowest one) = 302 meV per atom
# ΔE_f (raw) = -0.57 eV/atom

***

Entry 6:
# GGA-PBE CaAcBi2O8, relaxed
data_CaAcBi2O8
_chemical_formula_sum 'Ca2 Ac2 Bi4 O16'
_space_group_name_H-M_alt 'I -4'
_space_group_IT_number 82
_space_group_name_Hall 'I -4'
_cell_length_a 5.636
_cell_length_b 5.636
_cell_length_c 11.592
_cell_angle_alpha 90.00
_cell_angle_beta 90.00
_cell_angle_gamma 90.00
loop_
_atom_site_label
_atom_site_type_symbol
_atom_site_fract_x
_atom_site_fract_y
_atom_site_fract_z
Ca1 Ca 0.000 0.000 0.000
Ac1 Ac 0.000 0.500 0.750
Bi1 Bi 0.000 0.000 0.500
Bi2 Bi 0.000 0.500 0.250
O1 O 0.189 0.743 0.153
O2 O 0.202 0.240 0.594
# ΔE_f (raw) = -1.62 eV/atom

***

Entry 7:
# GGA-PBE Cs2HgWSe4, relaxed
data_Cs2HgWSe4
_chemical_formula_sum 'Cs16 Hg8 W8 Se32'
_space_group_name_H-M_alt 'F d d d'
_space_group_IT_number 70
_cell_length_a 8.021
_cell_length_b 13.136
_cell_length_c 25.335
_cell_angle_alpha 90.00
_cell_angle_beta 90.00
_cell_angle_gamma 90.00
loop_
_space_group_symop_operation_xyz
'x,y,z'
'-x,-y,-z'
'-x+1/4,-y+1/4,z'
'x+1/4,y+1/4,-z'
'x,-y+1/4,-z+1/4'
'-x,y+1/4,z+1/4'
'-x+1/4,y,-z+1/4'
'x+1/4,-y,z+1/4'
'x,y+1/2,z+1/2'
'-x,-y+1/2,-z+1/2'
'-x+1/4,-y+3/4,z+1/2'
'x+1/4,y+3/4,-z+1/2'
'x,-y+3/4,-z+3/4'
'-x,y+3/4,z+3/4'
'-x+1/4,y+1/2,-z+3/4'
'x+1/4,-y+1/2,z+3/4'
'x+1/2,y,z+1/2'
'-x+1/2,-y,-z+1/2'
'-x+3/4,-y+1/4,z+1/2'
'x+3/4,y+1/4,-z+1/2'
'x+1/2,-y+1/4,-z+3/4'
'-x+1/2,y+1/4,z+3/4'
'-x+3/4,y,-z+3/4'
'x+3/4,-y,z+3/4'
'x+1/2,y+1/2,z'
'-x+1/2,-y+1/2,-z'
'-x+3/4,-y+3/4,z'
'x+3/4,y+3/4,-z'
'x+1/2,-y+3/4,-z+1/4'
'-x+1/2,y+3/4,z+1/4'
'-x+3/4,y+1/2,-z+1/4'
'x+3/4,-y+1/2,z+1/4'
loop_
_atom_site_label
_atom_site_type_symbol
_atom_site_fract_x
_atom_site_fract_y
_atom_site_fract_z
Cs1 Cs 0.125 0.125 0.305
Hg1 Hg 0.125 0.125 0.125
W1 W 0.125 0.125 0.625
Se1 Se 0.051 0.275 0.822
# ΔE_f (raw) = -0.70 eV/atom

***

Entry 8:
# GGA-PBE Li2Ga2Cu, relaxed
data_Li2Ga2Cu
_chemical_formula_sum 'Li4 Ga4 Cu2'
_space_group_name_H-M_alt 'P 4/m b m'
_space_group_IT_number 127
_space_group_name_Hall '-P 4 2ab'
_cell_length_a 6.769
_cell_length_b 6.769
_cell_length_c 3.210
_cell_angle_alpha 90.00
_cell_angle_beta 90.00
_cell_angle_gamma 90.00
loop_
_atom_site_label
_atom_site_type_symbol
_atom_site_fract_x
_atom_site_fract_y
_atom_site_fract_z
Li1 Li 0.140 0.360 0.000
Ga1 Ga 0.161 0.661 0.500
Cu1 Cu 0.000 0.000 0.000
# polymorph energy (0 for the lowest one) = 239 meV per atom
# DFT formation energy = -25.0 meV/atom

***

How do the records compare in total energy? In the order shown, they have -1.505, -3.963, -5.547, -2.708, -2.590, -6.084, -4.308, -2.820 eV per atom.